4
Lattice="4.189 0.000 0.000 0.000 4.188 0.000 0.000 0.000 4.112" Properties=species:S:1:pos:R:3 comment="SrPtRh2 | the Alexandria database | GGA-PBE | optimized geometry" dos_at_fermi_per_ev_fu=3.4 spacegroup="P4/mmm (123)" final_energy_ev_per_cell=-22.39 polymorph_energy_ev_per_atom=0.234 pbc="T T T"
Sr 2.094 0.000 2.056
Rh 0.000 0.000 0.000
Rh 2.094 2.094 0.000
Pt 0.000 2.094 2.056

=====

5
Lattice="4.835 0.000 0.000 0.000 4.835 0.000 0.000 0.000 4.835" Properties=species:S:1:pos:R:3 comment="SrPtRh3 | the Alexandria database | GGA-PBE | optimized geometry" dos_at_fermi_per_ev_fu=9.0 spacegroup="Pm-3m (221)" final_energy_ev_per_cell=-19.65 polymorph_energy_ev_per_atom=1.417 pbc="T T T"
Rh 0.000 0.000 2.418
Rh 0.000 2.418 0.000
Rh 2.418 0.000 0.000
Sr 0.000 0.000 0.000
Pt 2.418 2.418 2.418

=====

5
Lattice="-3.228 -2.220 2.914 -2.256 -1.855 -3.913 2.886 -3.933 0.200" Properties=species:S:1:pos:R:3 comment="SrPtRh3 | the Alexandria database | GGA-PBE | optimized geometry" dos_at_fermi_per_ev_fu=6.3 spacegroup="Pm-3m (221)" final_energy_ev_per_cell=-26.74 polymorph_energy_ev_per_atom=0.000 pbc="T T T"
Rh -1.128 -0.927 -1.956
Rh -1.614 -1.110 1.457
Rh 1.443 -1.967 0.100
Sr -1.299 -4.004 -0.399
Pt 0.000 0.000 0.000

=====

4
Lattice="-3.884 -2.590 0.536 -3.651 1.711 2.412 -3.949 1.195 -2.248" Properties=species:S:1:pos:R:3 comment="SrPtRh2 | the Alexandria database | GGA-PBE | optimized geometry" dos_at_fermi_per_ev_fu=4.4 spacegroup="Fm-3m (225)" final_energy_ev_per_cell=-21.77 polymorph_energy_ev_per_atom=0.388 pbc="T T T"
Rh -8.613 0.237 0.525
Rh -2.871 0.079 0.175
Sr 0.000 0.000 0.000
Pt -5.742 0.158 0.350

=====

4
Lattice="2.894 0.000 0.000 0.000 3.769 0.000 0.000 0.000 7.047" Properties=species:S:1:pos:R:3 comment="SrPt2Rh | the Alexandria database | GGA-PBE | optimized geometry" dos_at_fermi_per_ev_fu=5.0 spacegroup="Pmmm (47)" final_energy_ev_per_cell=-21.80 pbc="T T T"
Rh 1.447 1.885 1.762
Pt 0.000 0.000 0.377
Pt 0.000 0.000 3.147
Sr 1.447 1.885 5.285

=====

8
Lattice="4.523 0.000 0.000 0.000 4.523 0.000 2.262 2.262 9.121" Properties=species:S:1:pos:R:3 comment="SrPtRh2 | the Alexandria database | GGA-PBE | optimized geometry" dos_at_fermi_per_ev_fu=6.0 spacegroup="I-42d (122)" final_energy_ev_per_cell=-44.39 polymorph_energy_ev_per_atom=0.282 pbc="T T T"
Rh 3.392 2.746 6.841
Rh 4.039 1.131 2.280
Rh 5.654 1.778 6.841
Rh 5.007 3.392 2.280
Pt 0.000 0.000 0.000
Pt 4.523 2.262 4.561
Sr 2.262 2.262 0.000
Sr 2.262 4.523 4.561

=====

4
Lattice="5.100 -0.273 -0.351 1.979 4.708 0.351 -3.266 -2.654 2.915" Properties=species:S:1:pos:R:3 comment="SrPtRh2 | the Alexandria database | GGA-PBE | optimized geometry" dos_at_fermi_per_ev_fu=5.6 spacegroup="Imm2 (44)" final_energy_ev_per_cell=-22.07 polymorph_energy_ev_per_atom=0.313 pbc="T T T"
Sr 3.547 2.223 0.000
Rh 7.059 4.423 0.000
Rh 2.744 -0.318 1.282
Pt 1.079 2.106 1.633

=====

12
Lattice="7.264 0.050 -0.005 0.125 7.145 -0.008 0.006 0.011 9.323" Properties=species:S:1:pos:R:3 comment="Sr8TlPt2Rh | the Alexandria database | GGA-PBE | optimized geometry" dos_at_fermi_per_ev_fu=6.6 spacegroup="P2/m (10)" final_energy_ev_per_cell=-40.39 pbc="T T T"
Sr 2.607 2.056 4.658
Sr 4.788 5.151 4.652
Sr 4.978 5.315 9.314
Sr 1.335 5.466 7.228
Sr 1.331 5.460 2.081
Sr 6.060 1.741 2.082
Sr 6.064 1.747 7.229
Sr 2.417 1.891 -0.004
Rh 0.000 0.000 0.000
Pt 3.699 3.606 7.047
Pt 3.696 3.600 2.263
Tl 0.003 0.005 4.662

=====

18
Lattice="7.035 -1.366 -0.969 2.286 6.792 -0.969 2.286 1.331 6.731" Properties=species:S:1:pos:R:3 comment="Sr2U3Pt12Rh | the Alexandria database | GGA-PBE | optimized geometry" dos_at_fermi_per_ev_fu=21.9 spacegroup="R-3m (166)" final_energy_ev_per_cell=-125.12 pbc="T T T"
U 3.518 -0.683 -0.485
U 1.143 3.396 -0.485
U 1.143 0.665 3.365
Pt 5.789 3.370 -0.714
Pt 5.373 6.137 4.353
Pt 5.789 0.440 3.416
Pt 3.618 5.116 0.439
Pt 5.819 6.317 1.376
Pt 3.241 4.817 3.416
Pt 7.990 1.641 4.353
Pt 3.618 2.106 4.683
Pt 6.236 0.620 0.439
Pt 7.990 4.651 0.109
Pt 8.367 1.940 1.376
Pt 5.819 3.387 5.507
Sr 7.373 4.292 3.044
Sr 4.235 2.465 1.748
Rh 0.000 0.000 0.000

=====

4
Lattice="5.014 0.000 0.000 2.507 4.343 0.000 2.507 1.448 4.094" Properties=species:S:1:pos:R:3 comment="SrYPtRh | the Alexandria database | GGA-PBE | optimized geometry" dos_at_fermi_per_ev_fu=2.5 spacegroup="F-43m (216)" final_energy_ev_per_cell=-24.17 pbc="T T T"
Sr 0.000 0.000 0.000
Y 5.014 2.895 2.047
Rh 2.507 1.448 1.024
Pt 7.522 4.343 3.071

=====

10
Lattice="6.874 -0.002 0.000 -0.002 6.877 0.000 3.436 3.437 4.872" Properties=species:S:1:pos:R:3 comment="Sr2Zn6PtRh | the Alexandria database | GGA-PBE | optimized geometry" dos_at_fermi_per_ev_fu=3.8 spacegroup="I4/mmm (139)" final_energy_ev_per_cell=-27.96 pbc="T T T"
Zn 8.576 8.579 4.870
Zn 8.576 5.169 4.871
Zn 3.435 3.437 2.415
Zn 1.732 1.733 0.001
Zn 6.873 6.875 2.456
Zn 1.732 5.143 0.000
Sr 6.873 3.437 2.434
Sr 3.436 6.875 2.437
Rh 3.436 3.437 0.000
Pt 0.000 0.000 0.000

=====

12
Lattice="-1.170 -1.370 -5.506 6.132 -2.366 -0.714 -5.018 -4.422 2.167" Properties=species:S:1:pos:R:3 comment="SrZn3PtRh | the Alexandria database | GGA-PBE | optimized geometry" dos_at_fermi_per_ev_fu=2.3 spacegroup="Cmcm (63)" final_energy_ev_per_cell=-42.50 pbc="T T T"
Rh 0.995 -6.632 -0.085
Rh -1.051 -1.526 -3.969
Zn 3.716 -2.345 -3.254
Zn 1.831 -0.706 -0.213
Zn 0.836 -6.092 -3.233
Zn 1.246 -1.392 -2.966
Zn 4.301 -1.660 -0.501
Zn -0.893 -2.066 -0.820
Sr -1.938 -4.074 -3.146
Sr 1.882 -4.084 -0.907
Pt -1.701 -4.386 -0.071
Pt 1.644 -3.772 -3.983

=====

5
Lattice="4.715 0.000 0.000 0.000 6.037 0.000 0.000 0.000 4.715" Properties=species:S:1:pos:R:3 comment="SrZrPtRh2 | the Alexandria database | GGA-PBE | optimized geometry" dos_at_fermi_per_ev_fu=1.0 spacegroup="P4/mmm (123)" final_energy_ev_per_cell=-26.60 pbc="T T T"
Sr 0.000 3.018 0.000
Zr 0.000 0.000 0.000
Rh 2.358 0.000 0.000
Rh 0.000 0.000 2.358
Pt 2.358 3.018 2.358

=====

8
Lattice="7.143 0.000 0.000 0.000 7.143 0.000 3.571 3.571 2.779" Properties=species:S:1:pos:R:3 comment="Ta2PtRh | the Alexandria database | GGA-PBE | optimized geometry" dos_at_fermi_per_ev_fu=3.1 spacegroup="I-42d (122)" final_energy_ev_per_cell=-74.56 pbc="T T T"
Ta 5.357 5.424 2.084
Ta 1.852 5.357 0.695
Ta 8.929 8.862 2.084
Ta 5.290 1.786 0.695
Pt 0.000 0.000 0.000
Pt 7.143 3.571 1.389
Rh 3.571 3.571 0.000
Rh 3.571 7.143 1.389

=====

4
Lattice="2.842 0.001 0.000 -0.003 2.842 0.000 0.000 0.000 8.019" Properties=species:S:1:pos:R:3 comment="Ta2PtRh | the Alexandria database | GGA-PBE | optimized geometry" dos_at_fermi_per_ev_fu=3.4 spacegroup="P4/mmm (123)" final_energy_ev_per_cell=-39.37 pbc="T T T"
Rh 1.419 1.422 6.014
Ta 0.000 0.000 4.071
Ta 0.000 0.000 7.958
Pt 1.419 1.422 2.005

=====

5
Lattice="4.655 0.000 0.000 0.000 4.655 0.000 0.000 0.000 4.655" Properties=species:S:1:pos:R:3 comment="TaPtRh3 | the Alexandria database | GGA-PBE | optimized geometry" dos_at_fermi_per_ev_fu=4.4 spacegroup="Pm-3m (221)" final_energy_ev_per_cell=-34.46 polymorph_energy_ev_per_atom=1.533 pbc="T T T"
Rh 0.000 2.328 0.000
Rh 0.000 0.000 2.328
Rh 2.328 0.000 0.000
Pt 2.328 2.328 2.328
Ta 0.000 0.000 0.000

=====

4
Lattice="0.427 0.832 4.388 -2.489 3.196 1.930 -3.297 -1.125 2.828" Properties=species:S:1:pos:R:3 comment="TaPt2Rh | the Alexandria database | GGA-PBE | optimized geometry" dos_at_fermi_per_ev_fu=3.5 spacegroup="Fm-3m (225)" final_energy_ev_per_cell=-32.73 pbc="T T T"
Pt -4.019 2.177 6.860
Pt -1.340 0.726 2.287
Rh 0.000 0.000 0.000
Ta -2.679 1.451 4.573

=====

6
Lattice="-4.601 -1.458 -1.583 -4.030 2.985 0.812 -2.220 2.386 -3.897" Properties=species:S:1:pos:R:3 comment="TaPtRh4 | the Alexandria database | GGA-PBE | optimized geometry" dos_at_fermi_per_ev_fu=11.2 spacegroup="F-43m (216)" final_energy_ev_per_cell=-47.71 polymorph_energy_ev_per_atom=0.235 pbc="T T T"
Rh -6.086 2.963 -1.341
Rh -4.064 1.466 -1.749
Rh -5.178 2.662 -3.703
Rh -6.373 0.734 -2.543
Ta -8.138 2.934 -3.501
Pt 0.000 0.000 0.000

=====

14
Lattice="5.898 -0.271 -1.833 -3.882 5.520 -2.877 0.280 -0.907 7.274" Properties=species:S:1:pos:R:3 comment="TaPt2Rh4 | the Alexandria database | GGA-PBE | optimized geometry" dos_at_fermi_per_ev_fu=7.7 spacegroup="P1 (1)" final_energy_ev_per_cell=-111.98 pbc="T T T"
Pt 3.519 1.323 4.407
Pt -1.134 4.321 -2.417
Pt 2.727 2.649 -0.102
Pt 0.774 1.242 4.043
Rh -0.363 2.974 2.095
Rh 1.954 -0.466 5.882
Rh 3.922 0.940 1.707
Rh 1.184 0.863 1.358
Rh 4.406 0.478 -0.943
Rh 0.018 2.608 -0.550
Rh 1.692 4.322 -1.986
Rh 5.052 -0.773 3.646
Ta 2.339 3.059 2.578
Ta -1.538 4.678 0.296

=====

5
Lattice="-4.033 1.467 -1.895 -1.077 -4.424 -1.132 -2.141 -0.538 4.140" Properties=species:S:1:pos:R:3 comment="TaPtRh3 | the Alexandria database | GGA-PBE | optimized geometry" dos_at_fermi_per_ev_fu=8.8 spacegroup="Pm-3m (221)" final_energy_ev_per_cell=-31.87 polymorph_energy_ev_per_atom=2.052 pbc="T T T"
Ta -3.626 -1.747 0.556
Rh -0.539 -2.212 -0.566
Rh -2.017 0.734 -0.947
Rh -1.070 -0.269 2.070
Pt 0.000 0.000 0.000

=====

8
Lattice="-2.218 -0.307 1.620 -4.499 -2.782 -6.686 4.855 -3.502 3.625" Properties=species:S:1:pos:R:3 comment="TaPt3Rh4 | the Alexandria database | GGA-PBE | optimized geometry" dos_at_fermi_per_ev_fu=9.4 spacegroup="Immm (71)" final_energy_ev_per_cell=-59.95 pbc="T T T"
Pt 0.633 -2.133 0.462
Pt -2.250 -1.391 -3.343
Pt -2.495 -4.457 -1.902
Rh -4.047 -3.458 -3.839
Rh 2.186 -3.132 2.398
Rh 0.062 -4.445 -0.758
Rh -1.924 -2.145 -0.683
Ta -1.109 -0.154 0.810

=====

4
Lattice="4.020 0.000 0.000 0.000 2.838 0.028 0.000 2.830 5.701" Properties=species:S:1:pos:R:3 comment="Ta2PtRh | the Alexandria database | GGA-PBE | optimized geometry" dos_at_fermi_per_ev_fu=2.7 spacegroup="P2/m (10)" final_energy_ev_per_cell=-39.41 pbc="T T T"
Pt 2.010 1.417 1.432
Ta 0.000 2.828 2.886
Ta 0.000 2.836 5.680
Rh 2.010 4.251 4.297

=====

9
Lattice="-3.575 2.110 -2.219 -3.827 1.415 2.496 1.071 6.891 2.318" Properties=species:S:1:pos:R:3 comment="TaPt2Rh6 | the Alexandria database | GGA-PBE | optimized geometry" dos_at_fermi_per_ev_fu=11.7 spacegroup="C2/m (12)" final_energy_ev_per_cell=-69.15 polymorph_energy_ev_per_atom=0.164 pbc="T T T"
Rh -4.714 3.649 -0.207
Rh -3.580 2.702 2.098
Rh -2.752 7.713 0.496
Rh -1.618 6.767 2.802
Rh -1.923 4.618 1.241
Rh -4.408 5.798 1.354
Pt -2.244 2.446 -0.306
Pt -4.087 7.970 2.901
Ta 0.536 3.445 1.159

=====

4
Lattice="2.795 0.000 0.000 0.000 4.031 0.000 0.000 0.000 5.551" Properties=species:S:1:pos:R:3 comment="TaPt2Rh | the Alexandria database | GGA-PBE | optimized geometry" dos_at_fermi_per_ev_fu=5.0 spacegroup="Pmmm (47)" final_energy_ev_per_cell=-33.39 pbc="T T T"
Pt 0.000 0.000 4.169
Pt 0.000 0.000 1.382
Rh 1.397 2.016 0.000
Ta 1.397 2.016 2.775

=====

8
Lattice="-3.013 -2.204 1.429 2.206 -0.997 3.114 -2.686 6.190 3.884" Properties=species:S:1:pos:R:3 comment="Ta2Pt3Rh3 | the Alexandria database | GGA-PBE | optimized geometry" dos_at_fermi_per_ev_fu=5.1 spacegroup="Pmmm (47)" final_energy_ev_per_cell=-69.44 pbc="T T T"
Ta -2.000 4.609 2.892
Ta -0.686 1.582 0.992
Pt -1.079 -0.043 3.248
Pt -1.507 -1.102 0.714
Pt -2.414 3.033 5.179
Rh 1.103 -0.498 1.557
Rh -2.850 1.993 2.657
Rh -0.240 2.597 3.499

=====

4
Lattice="2.758 -4.002 0.000 2.758 4.002 0.000 0.000 0.000 2.846" Properties=species:S:1:pos:R:3 comment="TaPt2Rh | the Alexandria database | GGA-PBE | optimized geometry" dos_at_fermi_per_ev_fu=4.6 spacegroup="Cmmm (65)" final_energy_ev_per_cell=-33.12 pbc="T T T"
Pt 1.379 2.001 0.000
Pt 1.379 -2.001 0.000
Ta 2.758 0.000 1.423
Rh 0.000 0.000 1.423